Here is an optimized crystal structure of Si7C6 from Alexandria. Energies are from PBE.

The structure in POSCAR format:
```
Si7C6
1.0
-2.5252 3.9448 4.9812
-5.7321 3.6658 0.6749
-5.4559 -0.4745 4.0937
Si C
7 6
direct
0.5868 0.5868 0.0587
0.0587 0.5868 0.5868
0.5868 0.0587 0.5868
0.4132 0.4132 0.9413
0.4132 0.9413 0.4132
0.9413 0.4132 0.4132
0.5000 0.5000 0.5000
0.1068 0.1068 0.1068
0.8932 0.8932 0.8932
0.1820 0.1820 0.1820
0.8180 0.8180 0.8180
0.3273 0.3273 0.3273
0.6727 0.6727 0.6727
```

## Properties
Formation energy from raw total energies ... 106.1 kJ/mol of atoms
D(E_F) ... 2.52 states/eV per cell
M_tot ... 0.0 μB per cell
Crystal system ... trigonal
Space-group type ... R-3m, No. 166